(1)
# LiCuOsSe2S | the Open Quantum Materials Database | PBE-GGA | optimized geometry
data_LiCuOsSe2S
_chemical_formula_sum 'Li4 Cu4 Os4 Se8 S4'
_cell_length_a 3.641
_cell_length_b 12.341
_cell_length_c 9.225
_cell_angle_alpha 90.00
_cell_angle_beta 90.00
_cell_angle_gamma 90.00
_symmetry_space_group_name_H-M 'C m c m'
_symmetry_Int_Tables_number 63
_symmetry_space_group_name_Hall '-C 2c 2'
loop_
_atom_site_label
_atom_site_fract_x
_atom_site_fract_y
_atom_site_fract_z
Li1 0.000 0.246 0.250
Cu1 0.000 0.036 0.750
Os1 0.000 0.500 0.000
Se1 0.000 0.141 0.537
S1 0.000 0.422 0.750
# Total DFT energy (no corrections) in eV/atom: -4.87
# Total magnetization in μB/atom: 0.00
# Crystal system: orthorhombic



(2)
# Li4MgAlIr2 | the Open Quantum Materials Database | PBE-GGA | optimized geometry
data_Li4MgAlIr2
_chemical_formula_sum 'Li4 Mg1 Al1 Ir2'
_cell_length_a 4.289
_cell_length_b 4.289
_cell_length_c 6.068
_cell_angle_alpha 90.00
_cell_angle_beta 90.00
_cell_angle_gamma 90.00
_symmetry_space_group_name_H-M 'P -4 m 2'
_symmetry_Int_Tables_number 115
loop_
_symmetry_equiv_pos_as_xyz
'x,y,z'
'y,-x,-z'
'-x,-y,z'
'-y,x,-z'
'-x,y,z'
'-y,-x,-z'
'x,-y,z'
'y,x,-z'
loop_
_atom_site_label
_atom_site_fract_x
_atom_site_fract_y
_atom_site_fract_z
Li1 0.000 0.000 0.000
Li2 0.000 0.500 0.746
Li3 0.500 0.500 0.500
Mg1 0.500 0.500 0.000
Al1 0.000 0.000 0.500
Ir1 0.000 0.500 0.271
# Total DFT energy (no corrections) in eV/atom: -4.16
# Total magnetization in μB/atom: 0.00
# Crystal system: tetragonal



(3)
# NiB4Pd | the Open Quantum Materials Database | PBE-GGA | optimized geometry
data_NiB4Pd
_chemical_formula_sum 'Ni1 B4 Pd1'
_cell_length_a 3.0174
_cell_length_b 3.0174
_cell_length_c 6.6713
_cell_angle_alpha 90.00
_cell_angle_beta 90.00
_cell_angle_gamma 120.00
_symmetry_space_group_name_H-M 'P 6/m m m'
_symmetry_Int_Tables_number 191
_symmetry_space_group_name_Hall '-P 6 2'
loop_
_atom_site_label
_atom_site_fract_x
_atom_site_fract_y
_atom_site_fract_z
Ni1 0.0000 0.0000 0.0000
B1 0.3333 0.6667 0.2231
Pd1 0.0000 0.0000 0.5000
# Total DFT energy (no corrections) in eV/atom: -6.02
# Total magnetization in μB/atom: 0.00
# Crystal system: hexagonal



Copy entry 3 word for word.
# NiB4Pd | the Open Quantum Materials Database | PBE-GGA | optimized geometry
data_NiB4Pd
_chemical_formula_sum 'Ni1 B4 Pd1'
_cell_length_a 3.0174
_cell_length_b 3.0174
_cell_length_c 6.6713
_cell_angle_alpha 90.00
_cell_angle_beta 90.00
_cell_angle_gamma 120.00
_symmetry_space_group_name_H-M 'P 6/m m m'
_symmetry_Int_Tables_number 191
_symmetry_space_group_name_Hall '-P 6 2'
loop_
_atom_site_label
_atom_site_fract_x
_atom_site_fract_y
_atom_site_fract_z
Ni1 0.0000 0.0000 0.0000
B1 0.3333 0.6667 0.2231
Pd1 0.0000 0.0000 0.5000
# Total DFT energy (no corrections) in eV/atom: -6.02
# Total magnetization in μB/atom: 0.00
# Crystal system: hexagonal